(1)
A relaxed structure of Sr2CeMnO6, computed with GGA+U.

```
data_Sr2CeMnO6
_chemical_formula_sum 'Sr4 Ce2 Mn2 O12'
_space_group_name_H-M_alt 'P 1 21/c 1'
_space_group_IT_number 14
_space_group_name_Hall '-P 2ybc'
_cell_length_a 5.809
_cell_length_b 5.812
_cell_length_c 10.015
_cell_angle_alpha 90.00
_cell_angle_beta 125.03
_cell_angle_gamma 90.00
loop_
_atom_site_label
_atom_site_type_symbol
_atom_site_fract_x
_atom_site_fract_y
_atom_site_fract_z
Sr1 Sr 0.241 0.027 0.248
Ce1 Ce 0.500 0.000 0.000
Mn1 Mn 0.000 0.000 0.500
O1 O 0.167 0.236 0.964
O2 O 0.226 0.706 0.965
O3 O 0.300 0.013 0.733
```

Summary:
- DOS at the Fermi energy: 0.0 states/eV/f.u.
- Calculated total energy: -145.5 eV per cell
- Density: 5.6 Mg/m³

=====

(2)
A relaxed structure of Sr3CeMn4O12, computed with GGA+U.

```
data_Sr3CeMn4O12
_chemical_formula_sum 'Sr6 Ce2 Mn8 O24'
_space_group_name_H-M_alt 'I m -3 m'
_space_group_IT_number 229
_space_group_name_Hall '-I 4 2 3'
_cell_length_a 7.783
_cell_length_b 7.783
_cell_length_c 7.783
_cell_angle_alpha 90.00
_cell_angle_beta 90.00
_cell_angle_gamma 90.00
loop_
_atom_site_label
_atom_site_type_symbol
_atom_site_fract_x
_atom_site_fract_y
_atom_site_fract_z
Sr1 Sr 0.000 0.000 0.500
Ce1 Ce 0.000 0.000 0.000
Mn1 Mn 0.250 0.250 0.250
O1 O 0.000 0.242 0.242
```

Summary:
- DOS at the Fermi energy: 4.9 states/eV/f.u.
- Calculated total energy: -289.3 eV per cell
- Density: 5.7 Mg/m³

=====

(3)
A relaxed structure of CeMnTeO2, computed with GGA+U.

```
data_CeMnTeO2
_chemical_formula_sum 'Ce4 Mn4 Te4 O8'
_space_group_name_H-M_alt 'C m c m'
_space_group_IT_number 63
_space_group_name_Hall '-C 2c 2'
_cell_length_a 5.434
_cell_length_b 12.401
_cell_length_c 5.550
_cell_angle_alpha 90.00
_cell_angle_beta 90.00
_cell_angle_gamma 90.00
loop_
_atom_site_label
_atom_site_type_symbol
_atom_site_fract_x
_atom_site_fract_y
_atom_site_fract_z
Ce1 Ce 0.000 0.094 0.250
Mn1 Mn 0.000 0.429 0.250
Te1 Te 0.000 0.248 0.750
O1 O 0.249 0.000 0.000
```

Summary:
- Calculated total energy: -135.3 eV per cell
- Density: 6.3 Mg/m³

=====

(4)
A relaxed structure of Ce2MnTe2O2, computed with GGA+U.

```
data_Ce2MnTe2O2
_chemical_formula_sum 'Ce4 Mn2 Te4 O4'
_space_group_name_H-M_alt 'C 1 2/m 1'
_space_group_IT_number 12
_space_group_name_Hall '-C 2y'
_cell_length_a 11.989
_cell_length_b 4.038
_cell_length_c 7.639
_cell_angle_alpha 90.00
_cell_angle_beta 122.63
_cell_angle_gamma 90.00
loop_
_atom_site_label
_atom_site_type_symbol
_atom_site_fract_x
_atom_site_fract_y
_atom_site_fract_z
Ce1 Ce 0.192 0.000 0.263
Mn1 Mn 0.000 0.000 0.500
Te1 Te 0.065 0.500 0.828
O1 O 0.201 0.000 0.580
```

Summary:
- DOS at the Fermi energy: 11.9 states/eV/f.u.
- Calculated total energy: -100.1 eV per cell
- Density: 6.6 Mg/m³

=====

(5)
A relaxed structure of CeMnTeO6, computed with GGA+U.

```
data_CeMnTeO6
_chemical_formula_sum 'Ce2 Mn2 Te2 O12'
_space_group_name_H-M_alt 'P -3 1 c'
_space_group_IT_number 163
_space_group_name_Hall '-P 3 2c'
_cell_length_a 5.3539
_cell_length_b 5.3539
_cell_length_c 9.7620
_cell_angle_alpha 90.00
_cell_angle_beta 90.00
_cell_angle_gamma 120.00
loop_
_atom_site_label
_atom_site_type_symbol
_atom_site_fract_x
_atom_site_fract_y
_atom_site_fract_z
Ce1 Ce 0.0000 0.0000 0.0000
Mn1 Mn 0.3333 0.6667 0.2500
Te1 Te 0.3333 0.6667 0.7500
O1 O 0.0304 0.3663 0.6369
```

Summary:
- Calculated total energy: -128.1 eV per cell
- Density: 5.7 Mg/m³

=====

(6)
A relaxed structure of CeThMn2O8, computed with GGA+U.

```
data_CeThMn2O8
_chemical_formula_sum 'Ce2 Th2 Mn4 O16'
_space_group_name_H-M_alt 'I -4'
_space_group_IT_number 82
_space_group_name_Hall 'I -4'
_cell_length_a 5.230
_cell_length_b 5.230
_cell_length_c 11.391
_cell_angle_alpha 90.00
_cell_angle_beta 90.00
_cell_angle_gamma 90.00
loop_
_atom_site_label
_atom_site_type_symbol
_atom_site_fract_x
_atom_site_fract_y
_atom_site_fract_z
Ce1 Ce 0.000 0.000 0.000
Th1 Th 0.000 0.500 0.250
Mn1 Mn 0.000 0.000 0.500
Mn2 Mn 0.000 0.500 0.750
O1 O 0.160 0.736 0.828
O2 O 0.169 0.284 0.422
```

Summary:
- Calculated total energy: -190.7 eV per cell
- Density: 6.5 Mg/m³

=====

(7)
A relaxed structure of CeUMn2O8, computed with GGA+U.

```
data_CeUMn2O8
_chemical_formula_sum 'Ce2 U2 Mn4 O16'
_space_group_name_H-M_alt 'I -4'
_space_group_IT_number 82
_space_group_name_Hall 'I -4'
_cell_length_a 5.259
_cell_length_b 5.259
_cell_length_c 10.906
_cell_angle_alpha 90.00
_cell_angle_beta 90.00
_cell_angle_gamma 90.00
loop_
_atom_site_label
_atom_site_type_symbol
_atom_site_fract_x
_atom_site_fract_y
_atom_site_fract_z
Ce1 Ce 0.000 0.000 0.000
U1 U 0.000 0.500 0.750
Mn1 Mn 0.000 0.000 0.500
Mn2 Mn 0.000 0.500 0.250
O1 O 0.170 0.283 0.576
O2 O 0.191 0.782 0.186
```

Summary:
- Calculated total energy: -201.2 eV per cell
- Density: 6.8 Mg/m³

=====

Calculated M_tot (μB per atom), listed in the same order as above: 0.299; 0.684; 0.221; 1.001; 0.556; 0.500; 0.667